# VS2F

VS2F after structural relaxation (PBE with a Hubbard U, the Alexandria database).

a b c (Å): 6.065 6.065 6.065
angles (deg): 90.00 90.00 90.00
Space group Fm-3m (No. 225)
Inequivalent atoms, fractional coordinates:
V1 0.000 0.000 0.000 (multiplicity 4)
S1 0.250 0.250 0.250 (multiplicity 8)
F1 0.000 0.000 0.500 (multiplicity 4)

## Properties
final energy = -4.60 eV per atom
DOS at the Fermi energy = 12.44 states/eV per cell
total magnetic moment = 11.21 μB per cell